1.
Computed, not measured: a relaxed V4RuPt crystal at the GGA-PBE level of DFT.

Output
- Total magnetic moment: 0.00 Bohr magnetons per cell
- Energy of formation from the pure elements: -21 kJ per mole of atoms
- N(E_F): 16.0 states/eV/cell

Lattice parameters (Å, degrees): 6.8822 6.8822 6.8822 90.00 90.00 90.00
With the nearest neighbours (Å) after each atom.
Space group F-43m (No. 216)
Inequivalent atoms, fractional coordinates:
1 V 0.1238 0.1238 0.1238 x16  6 V 2.41-2.46
2 Ru 0.2500 0.2500 0.7500 x4  12 V 2.85, 4 Pt 2.98
3 Pt 0.0000 0.0000 0.5000 x4  12 V 2.86, 4 Ru 2.98

=====

2.
Computed, not measured: a relaxed V2Ru2Pt crystal at the GGA-PBE level of DFT.

Output
- Total magnetic moment: 0.00 Bohr magnetons per cell
- Energy of formation from the pure elements: -12 kJ per mole of atoms
- N(E_F): 9.4 states/eV/cell

Lattice parameters (Å, degrees): 7.1335 7.1335 2.8374 90.00 90.00 90.00
With the nearest neighbours (Å) after each atom.
Space group P4/mbm (No. 127)
Inequivalent atoms, fractional coordinates:
1 V 0.1470 0.3530 0.0000 x4  6 Ru 2.49-2.55, 2 Pt 2.73
2 Ru 0.1499 0.6499 0.5000 x4  6 V 2.49-2.55
3 Pt 0.0000 0.0000 0.0000 x2  4 V 2.73, 2 Pt 2.84

=====

3.
Computed, not measured: a relaxed V5Ru4Pt crystal at the GGA-PBE level of DFT.

Output
- Total magnetic moment: 0.00 Bohr magnetons per cell
- Energy of formation from the pure elements: -25 kJ per mole of atoms
- N(E_F): 10.7 states/eV/cell

Lattice parameters (Å, degrees): 2.8936 2.8936 16.6326 90.00 90.00 90.00
With the nearest neighbours (Å) after each atom.
Space group P4/mmm (No. 123)
Inequivalent atoms, fractional coordinates:
1 V 0.0000 0.0000 0.0000 x1  8 Ru 2.59, 4 V 2.89
2 V 0.0000 0.0000 0.1925 x2  8 Ru 2.53-2.61
3 V 0.0000 0.0000 0.3874 x2  4 Ru 2.69, 4 Pt 2.77, 4 V 2.89
4 Ru 0.5000 0.5000 0.0951 x2  8 V 2.59-2.61, 4 Ru 2.89
5 Ru 0.5000 0.5000 0.2823 x2  8 V 2.53-2.69
6 Pt 0.5000 0.5000 0.5000 x1  8 V 2.77, 4 Pt 2.89

=====

4.
Computed, not measured: a relaxed V6Ru5Pt crystal at the GGA-PBE level of DFT.

Output
- Total magnetic moment: 0.00 Bohr magnetons per cell
- Energy of formation from the pure elements: -24 kJ per mole of atoms
- N(E_F): 17.4 states/eV/cell

Lattice parameters (Å, degrees): 4.0516 6.7243 6.4289 90.00 108.29 90.00
With the nearest neighbours (Å) after each atom.
Space group P2/m (No. 10)
Inequivalent atoms, fractional coordinates:
1 V 0.0000 0.2370 0.0000 x2  6 Ru 2.58-2.66, 2 Pt 2.69
2 V 0.3312 0.2468 0.6619 x4  7 Ru 2.59-2.67, 1 Pt 2.68, 4 V 2.83-2.89
3 Ru 0.1623 0.5000 0.3245 x2  8 V 2.65-2.67, 2 Pt 2.83-2.84, 2 Ru 2.95
4 Ru 0.1676 0.0000 0.3353 x2  8 V 2.59-2.62, 4 Ru 2.85-2.88
5 Ru 0.5000 0.0000 0.0000 x1  8 V 2.58-2.65, 4 Ru 2.88
6 Pt 0.5000 0.5000 0.0000 x1  8 V 2.68-2.69, 4 Ru 2.83-2.84

=====

5.
Computed, not measured: a relaxed V4Ru3Pt2 crystal at the GGA-PBE level of DFT.

Output
- Total magnetic moment: 0.00 Bohr magnetons per cell
- Energy of formation from the pure elements: -29 kJ per mole of atoms
- N(E_F): 9.6 states/eV/cell

Lattice parameters (Å, degrees): 3.8217 4.6677 8.0996 104.95 90.05 114.14
With the nearest neighbours (Å) after each atom.
Space group P-1 (No. 2)
Inequivalent atoms, fractional coordinates:
1 V 0.0062 0.0123 0.3347 x2  3 Pt 2.66-2.75, 6 Ru 2.68-2.72, 3 V 2.71-2.76
2 V 0.3362 0.6726 0.1075 x2  4 Ru 2.65-2.75, 4 Pt 2.67-2.72, 4 V 2.72-2.76
3 Ru 0.0000 0.0000 0.0000 x1  8 V 2.65-2.75, 4 Pt 2.74
4 Ru 0.3392 0.6776 0.4434 x2  3 Ru 2.64-2.75, 6 V 2.68-2.72, 3 Pt 2.72-2.73
5 Pt 0.3307 0.6617 0.7767 x2  7 V 2.66-2.75, 5 Ru 2.72-2.74

=====

6.
Computed, not measured: a relaxed V2Ru2Pt crystal at the GGA-PBE level of DFT.

Output
- Total magnetic moment: 0.00 Bohr magnetons per cell
- Energy of formation from the pure elements: -17 kJ per mole of atoms
- N(E_F): 11.3 states/eV/cell

Lattice parameters (Å, degrees): 7.1158 7.1158 2.8509 90.00 90.00 90.00
With the nearest neighbours (Å) after each atom.
Space group P4/mbm (No. 127)
Inequivalent atoms, fractional coordinates:
1 V 0.1613 0.3387 0.0000 x4  6 Ru 2.48-2.56
2 Ru 0.1367 0.6367 0.5000 x4  6 V 2.48-2.56, 1 Ru 2.75, 2 Pt 2.76
3 Pt 0.0000 0.0000 0.5000 x2  4 Ru 2.76, 2 Pt 2.85, 8 V 3.03

=====

7.
Computed, not measured: a relaxed V2Ru2Pt crystal at the GGA-PBE level of DFT.

Output
- Total magnetic moment: 0.00 Bohr magnetons per cell
- Energy of formation from the pure elements: -21 kJ per mole of atoms
- N(E_F): 19.2 states/eV/cell

Lattice parameters (Å, degrees): 4.3025 4.3025 13.1630 90.00 90.00 120.00
With the nearest neighbours (Å) after each atom.
Space group R-3m (No. 166, hexagonal axes)
Inequivalent atoms, fractional coordinates:
1 V 0.0000 0.0000 0.0901 x6  1 V 2.37, 4 Ru 2.52-2.53
2 Ru 0.0000 0.0000 0.2816 x6  4 V 2.52-2.53
3 Pt 0.0000 0.0000 0.5000 x3  6 V 2.68, 8 Ru 2.87-2.91

=====

8.
Computed, not measured: a relaxed V2RuPt crystal at the GGA-PBE level of DFT.

Output
- Total magnetic moment: 0.00 Bohr magnetons per cell
- Energy of formation from the pure elements: -34 kJ per mole of atoms
- N(E_F): 5.7 states/eV/cell

Lattice parameters (Å, degrees): 2.7649 2.7649 7.3760 90.00 90.00 90.00
With the nearest neighbours (Å) after each atom.
Space group P4/mmm (No. 123)
Inequivalent atoms, fractional coordinates:
1 V 0.0000 0.0000 0.2369 x2  4 Ru 2.62, 4 Pt 2.75, 4 V 2.76
2 Ru 0.5000 0.5000 0.0000 x1  8 V 2.62, 4 Ru 2.76
3 Pt 0.5000 0.5000 0.5000 x1  8 V 2.75, 4 Pt 2.76

=====

9.
Computed, not measured: a relaxed V4Ru2Pt crystal at the GGA-PBE level of DFT.

Output
- Total magnetic moment: 7.66 Bohr magnetons per cell
- Energy of formation from the pure elements: 88 kJ per mole of atoms
- N(E_F): 21.8 states/eV/cell

Lattice parameters (Å, degrees): 4.5988 4.5988 12.2413 90.00 90.00 90.00
With the nearest neighbours (Å) after each atom.
Space group I4/mmm (No. 139)
Inequivalent atoms, fractional coordinates:
1 V 0.0000 0.0000 0.2047 x4  1 Ru 2.23
2 V 0.0000 0.5000 0.0000 x4  2 Pt 2.30
3 Ru 0.0000 0.0000 0.3869 x4  1 V 2.23
4 Pt 0.0000 0.0000 0.0000 x2  6 V 2.30-2.51

=====

10.
Computed, not measured: a relaxed V2RuPt2 crystal at the GGA-PBE level of DFT.

Output
- Total magnetic moment: 0.00 Bohr magnetons per cell
- Energy of formation from the pure elements: -20 kJ per mole of atoms
- N(E_F): 8.4 states/eV/cell

Lattice parameters (Å, degrees): 7.4187 7.4187 2.7120 90.00 90.00 90.00
With the nearest neighbours (Å) after each atom.
Space group P4/mbm (No. 127)
Inequivalent atoms, fractional coordinates:
1 V 0.1701 0.3299 0.0000 x4  6 Pt 2.51-2.62, 2 V 2.71
2 Ru 0.0000 0.0000 0.5000 x2  2 Ru 2.71, 4 Pt 2.91
3 Pt 0.1290 0.6290 0.5000 x4  6 V 2.51-2.62, 3 Pt 2.71

=====

11.
Computed, not measured: a relaxed VRuPt3 crystal at the GGA-PBE level of DFT.

Output
- Total magnetic moment: 0.00 Bohr magnetons per cell
- Energy of formation from the pure elements: -30 kJ per mole of atoms
- N(E_F): 9.2 states/eV/cell

Lattice parameters (Å, degrees): 3.8392 4.7950 8.7682 90.30 90.03 113.60
With the nearest neighbours (Å) after each atom.
Space group P-1 (No. 2)
Inequivalent atoms, fractional coordinates:
1 V 0.0485 0.0959 0.3393 x2  2 Ru 2.62, 9 Pt 2.62-2.87
2 Ru 0.4559 0.9128 0.1573 x2  2 V 2.62, 9 Pt 2.70-2.84, 1 Ru 2.87
3 Pt 0.1484 0.2962 0.0582 x2  1 V 2.62, 5 Ru 2.70-2.84, 6 Pt 2.70-2.86
4 Pt 0.2496 0.4999 0.7495 x2  3 Ru 2.70-2.77, 6 Pt 2.70-2.86, 3 V 2.73
5 Pt 0.3575 0.7136 0.4476 x2  6 Pt 2.67-2.85, 1 Ru 2.70, 5 V 2.73-2.87

=====

12.
Computed, not measured: a relaxed V2RuPt crystal at the GGA-PBE level of DFT.

Output
- Total magnetic moment: 0.00 Bohr magnetons per cell
- Energy of formation from the pure elements: -38 kJ per mole of atoms
- N(E_F): 4.7 states/eV/cell

Lattice parameters (Å, degrees): 3.8988 3.8988 3.6870 90.00 90.00 90.00
With the nearest neighbours (Å) after each atom.
Space group P4/mmm (No. 123)
Inequivalent atoms, fractional coordinates:
1 V 0.0000 0.5000 0.0000 x2  4 Pt 2.68, 4 Ru 2.68, 4 V 2.76
2 Ru 0.0000 0.0000 0.5000 x1  8 V 2.68, 4 Pt 2.76
3 Pt 0.5000 0.5000 0.5000 x1  8 V 2.68, 4 Ru 2.76